Record 1
Entry from OQMD: a geometry-optimized Tl2PdPt3Se6 structure (GGA-PBE).

The total energy comes out at -4.503 eV per atom.

Cell: 7.5825 7.5825 5.7915 Å, 90.00 90.00 120.00°
Space group P-3m1 (No. 164)
Symmetry-distinct sites (fractional):
Tl: 0.3333 0.6667 0.3538 [2 per cell]
Pd: 0.0000 0.0000 0.0000 [1 per cell]
Pt: 0.0000 0.5000 0.0000 [3 per cell]
Se: 0.1705 0.3410 0.7859 [6 per cell]

---

Record 2
Entry from OQMD: a geometry-optimized Pr4CBrCl4 structure (GGA-PBE).

The total energy comes out at -5.371 eV per atom.

Cell: 17.9252 3.9663 8.4493 Å, 90.00 105.37 90.00°
Space group C2/m (No. 12)
Symmetry-distinct sites (fractional):
Pr: 0.0011 0.0000 0.2931 [4 per cell]
Pr: 0.1465 0.5000 0.5875 [4 per cell]
C: 0.0000 0.5000 0.5000 [2 per cell]
Br: 0.0000 0.5000 0.0000 [2 per cell]
Cl: 0.1647 0.0000 0.8362 [4 per cell]
Cl: 0.1703 0.0000 0.3540 [4 per cell]

---

Record 3
Entry from OQMD: a geometry-optimized SmGdBe structure (GGA-PBE).

The total energy comes out at -3.487 eV per atom.

Cell: 6.7874 6.7874 6.7874 Å, 90.00 90.00 90.00°
Space group F-43m (No. 216)
Symmetry-distinct sites (fractional):
Sm: 0.0000 0.0000 0.0000 [4 per cell]
Gd: 0.2500 0.2500 0.7500 [4 per cell]
Be: 0.0000 0.0000 0.5000 [4 per cell]

---

Record 4
Entry from OQMD: a geometry-optimized AcHgNO structure (GGA-PBE).

The total energy comes out at -5.441 eV per atom.

Cell: 4.0796 4.0796 8.6409 Å, 90.00 90.00 90.00°
Space group P4/nmm (No. 129, origin choice 2)
Symmetry-distinct sites (fractional):
Ac: 0.2500 0.2500 0.1549 [2 per cell]
Hg: 0.2500 0.7500 0.5000 [2 per cell]
N: 0.2500 0.2500 0.6715 [2 per cell]
O: 0.2500 0.7500 0.0000 [2 per cell]

---

Record 5
Entry from OQMD: a geometry-optimized MgCdSO structure (GGA-PBE).

The total energy comes out at -4.230 eV per atom.

Cell: 5.8325 6.9821 7.3874 Å, 90.00 90.00 90.00°
Space group P2_12_12_1 (No. 19)
Symmetry-distinct sites (fractional):
Mg: 0.1726 0.1786 0.0896 [4 per cell]
Cd: 0.1700 0.4031 0.6739 [4 per cell]
S: 0.0175 0.3736 0.3499 [4 per cell]
O: 0.0129 0.7485 0.6158 [4 per cell]

---

Record 6
Entry from OQMD: a geometry-optimized GdY2Cd structure (GGA-PBE).

The energy of formation from the pure elements is -0.130 eV/atom.

Cell: 5.2141 10.6298 8.4449 Å, 90.00 90.00 90.00°
Space group Ama2 (No. 40)
Symmetry-distinct sites (fractional):
Gd: 0.2500 0.1122 0.0000 [4 per cell]
Y: 0.2500 0.1124 0.5812 [4 per cell]
Y: 0.2500 0.3892 0.7914 [4 per cell]
Cd: 0.2500 0.3267 0.2900 [4 per cell]

---

Record 7
Entry from OQMD: a geometry-optimized MgFeCuBi structure (GGA-PBE).

The total energy comes out at -4.055 eV per atom.

Cell: 6.4362 6.4362 6.4362 Å, 90.00 90.00 90.00°
Space group F-43m (No. 216)
Symmetry-distinct sites (fractional):
Mg: 0.0000 0.0000 0.0000 [4 per cell]
Fe: 0.2500 0.2500 0.7500 [4 per cell]
Cu: 0.2500 0.2500 0.2500 [4 per cell]
Bi: 0.0000 0.0000 0.5000 [4 per cell]

---

Record 8
Entry from OQMD: a geometry-optimized DyTaGe structure (GGA-PBE).

The total energy comes out at -5.962 eV per atom.

Cell: 6.8099 6.8099 6.8099 Å, 90.00 90.00 90.00°
Space group F-43m (No. 216)
Symmetry-distinct sites (fractional):
Dy: 0.0000 0.0000 0.0000 [4 per cell]
Ta: 0.2500 0.2500 0.2500 [4 per cell]
Ge: 0.2500 0.2500 0.7500 [4 per cell]